Entry 1:
Material: UTc3
Method: DFT, PBE-GGA
State: relaxed

Properties
Raw total energy = -10.56 eV/atom
Space-group type = Pm-3m (221)
E_form = 15 kJ/mol of formula units

Cell: 4.033 4.033 4.033 Å, 90.00 90.00 90.00°
Positions (direct):
U 0.000 0.000 0.000
Tc 0.000 0.500 0.500
Tc 0.500 0.000 0.500
Tc 0.500 0.500 0.000

---

Entry 2:
Material: MgZr2InO
Method: DFT, PBE-GGA
State: relaxed

Properties
Raw total energy = -6.31 eV/atom
E_form (uncorrected) = -1.0340 eV/atom
Space-group type = P4/mmm (123)

Cell: 4.578 4.578 4.278 Å, 90.00 90.00 90.00°
Positions (direct):
Mg 0.000 0.000 0.500
O 0.000 0.000 0.000
Zr 0.000 0.500 0.000
Zr 0.500 0.000 0.000
In 0.500 0.500 0.500

---

Entry 3:
Material: SrNd6S8
Method: DFT, PBE-GGA
State: relaxed

Properties
Raw total energy = -5.96 eV/atom
E_form (uncorrected) = -1.7381 eV/atom
Space-group type = R-3 (148)
Relative energy among the computed polymorphs = 301.3 meV per atom

Cell: 8.126 8.126 8.126 Å, 96.32 96.32 96.32°
Positions (direct):
Sr 0.000 0.000 0.000
Nd 0.642 0.438 0.814
Nd 0.438 0.814 0.642
Nd 0.814 0.642 0.438
Nd 0.358 0.562 0.186
Nd 0.562 0.186 0.358
Nd 0.186 0.358 0.562
S 0.766 0.766 0.766
S 0.234 0.234 0.234
S 0.572 0.845 0.336
S 0.845 0.336 0.572
S 0.336 0.572 0.845
S 0.428 0.155 0.664
S 0.155 0.664 0.428
S 0.664 0.428 0.155

---

Entry 4:
Material: MgTePd6
Method: DFT, PBE-GGA
State: relaxed

Properties
Raw total energy = -4.85 eV/atom
E_form (uncorrected) = -0.3622 eV/atom
Space-group type = Cmmm (65)
Relative energy among the computed polymorphs = 0.0 meV per atom

Cell: 4.033 5.675 5.675 Å, 89.90 90.00 90.00°
Positions (direct):
Mg 0.500 0.000 0.000
Te 0.500 0.500 0.500
Pd 0.000 0.753 0.247
Pd 0.000 0.247 0.753
Pd 0.000 0.756 0.756
Pd 0.000 0.244 0.244
Pd 0.500 0.500 0.000
Pd 0.500 0.000 0.500

---

Entry 5:
Material: YHo3Ni
Method: DFT, PBE-GGA
State: relaxed

Properties
Raw total energy = -5.24 eV/atom
Space-group type = Pm-3m (221)
Relative energy among the computed polymorphs = 37.8 meV per atom
E_form = -22 kJ/mol of formula units

Cell: 5.286 5.286 5.286 Å, 90.00 90.00 90.00°
Positions (direct):
Y 0.500 0.500 0.500
Ni 0.000 0.000 0.000
Ho 0.000 0.500 0.000
Ho 0.000 0.000 0.500
Ho 0.500 0.000 0.000

---

Entry 6:
Material: TaNiRhAu
Method: DFT, PBE-GGA
State: relaxed

Properties
Raw total energy = -7.24 eV/atom
Space-group type = F-43m (216)
E_form = -67 kJ/mol of formula units

Cell: 4.416 4.416 4.416 Å, 60.00 60.00 60.00°
Positions (direct):
Ni 0.750 0.750 0.750
Rh 0.250 0.250 0.250
Au 0.000 0.000 0.000
Ta 0.500 0.500 0.500

---

Entry 7:
Material: La2AlCrSi
Method: DFT, PBE-GGA
State: relaxed

Properties
Raw total energy = -4.98 eV/atom
E_form (uncorrected) = 0.7500 eV/atom
Space-group type = P4/mmm (123)

Cell: 5.668 4.551 5.668 Å, 90.00 90.00 90.00°
Each line ends with the local moment (μB).
Positions (direct):
Cr 0.500 0.500 0.500  -0.25
Si 0.000 0.000 0.000  0.02
Al 0.000 0.500 0.000  0.00
La 0.000 0.000 0.500  -0.01
La 0.500 0.000 0.000  0.00

---

Entry 8:
Material: FeI3Cl
Method: DFT, PBE-GGA
State: relaxed

Properties
Raw total energy = -2.04 eV/atom
E_form (uncorrected) = 0.9563 eV/atom
Space-group type = Pm-3m (221)
Relative energy among the computed polymorphs = 1098.7 meV per atom

Cell: 5.738 5.738 5.738 Å, 90.00 90.00 90.00°
Each line ends with the local moment (μB).
Positions (direct):
I 0.000 0.500 0.000  0.04
I 0.000 0.000 0.500  0.01
I 0.500 0.000 0.000  0.01
Fe 0.500 0.500 0.500  3.36
Cl 0.000 0.000 0.000  0.02

---

Q: Look up the raw total energy of the second one.
A: -6.31 eV/atom

---

Q: Among the records above, which one has the lowest raw total energy?
A: UTc3

---

Q: Which formula does entry 8 have?
A: FeI3Cl

---

Q: The lowest raw total energy belongs to which entry?
A: UTc3